Model A:
Computed, not measured: a relaxed structure of MnNbOs2Au at the PBE level of DFT.

* size of the total moment: 4.37 μB per cell
* density: 11512 kg/m3

Lattice parameters (Å, degrees): 4.7373 4.6618 4.7373 90.00 90.00 90.00
Last column: nearest neighbours and their distance in Å.
Fractional coordinates of all 5 atoms:
Nb (0.0000, 0.0000, 0.0000)  2 Mn 2.33, 4 Os 2.37
Os (0.5000, 0.0000, 0.0000)  2 Nb 2.37
Os (0.0000, 0.0000, 0.5000)  2 Nb 2.37
Au (0.5000, 0.5000, 0.5000)  8 Os 3.32, 4 Mn 3.35
Mn (0.0000, 0.5000, 0.0000)  2 Nb 2.33


Model B:
Computed, not measured: a relaxed structure of MnNbOs2Au at the PBE level of DFT.

* size of the total moment: 0.00 μB per cell
* density: 13565 kg/m3

Lattice parameters (Å, degrees): 4.4447 4.4942 4.4447 90.00 90.00 90.00
Last column: nearest neighbours and their distance in Å.
Fractional coordinates of all 5 atoms:
Mn (0.0000, 0.0000, 0.0000)  4 Os 2.22, 2 Nb 2.25
Au (0.5000, 0.5000, 0.5000)  4 Nb 3.14, 8 Os 3.16
Os (0.5000, 0.0000, 0.0000)  2 Mn 2.22
Nb (0.0000, 0.5000, 0.0000)  2 Mn 2.25
Os (0.0000, 0.0000, 0.5000)  2 Mn 2.22


Each structure's energy above the most stable one, in eV/atom: model A 0.707; model B 0.000.


Model A:
Computed, not measured: a relaxed structure of Mn2Ni2Au at the PBE level of DFT.

* size of the total moment: 1.19 μB per cell
* density: 11165 kg/m3

Lattice parameters (Å, degrees): 6.9493 6.9493 2.6130 90.00 90.00 90.00
Last column: nearest neighbours and their distance in Å.
Fractional coordinates of all 10 atoms:
Ni (0.3146, 0.1854, 0.5000)  6 Mn 2.46, 2 Ni 2.61
Mn (0.3975, 0.8975, 0.0000)  1 Mn 2.01
Mn (0.8975, 0.6025, 0.0000)  1 Mn 2.01
Ni (0.8146, 0.3146, 0.5000)  6 Mn 2.46, 2 Ni 2.61
Ni (0.1854, 0.6854, 0.5000)  6 Mn 2.46, 2 Ni 2.61
Au (0.5000, 0.5000, 0.0000)  2 Au 2.61, 4 Mn 2.85, 8 Ni 2.85
Mn (0.6025, 0.1025, 0.0000)  1 Mn 2.01
Ni (0.6854, 0.8146, 0.5000)  6 Mn 2.46, 2 Ni 2.61
Au (0.0000, 0.0000, 0.0000)  2 Au 2.61, 4 Mn 2.85, 8 Ni 2.85
Mn (0.1025, 0.3975, 0.0000)  1 Mn 2.01


Model B:
Computed, not measured: a relaxed structure of Mn2Ni2Au at the PBE level of DFT.

* size of the total moment: 15.87 μB per cell
* density: 10377 kg/m3

Lattice parameters (Å, degrees): 6.9689 6.9689 2.7957 90.00 90.00 90.00
Last column: nearest neighbours and their distance in Å.
Fractional coordinates of all 10 atoms:
Ni (0.6289, 0.1289, 0.0000)  6 Mn 2.46-2.49, 1 Ni 2.54, 2 Au 2.74
Mn (0.3347, 0.1653, 0.5000)  6 Ni 2.46-2.49
Ni (0.1289, 0.3711, 0.0000)  6 Mn 2.46-2.49, 1 Ni 2.54, 2 Au 2.74
Au (0.5000, 0.5000, 0.0000)  4 Ni 2.74, 2 Au 2.80, 8 Mn 2.95
Au (0.0000, 0.0000, 0.0000)  4 Ni 2.74, 2 Au 2.80, 8 Mn 2.95
Mn (0.8347, 0.3347, 0.5000)  6 Ni 2.46-2.49
Mn (0.6653, 0.8347, 0.5000)  6 Ni 2.46-2.49
Ni (0.3711, 0.8711, 0.0000)  6 Mn 2.46-2.49, 1 Ni 2.54, 2 Au 2.74
Mn (0.1653, 0.6653, 0.5000)  6 Ni 2.46-2.49
Ni (0.8711, 0.6289, 0.0000)  6 Mn 2.46-2.49, 1 Ni 2.54, 2 Au 2.74


Each structure's energy above the most stable one, in eV/atom: model A 0.268; model B 0.000.


Model A:
Computed, not measured: a relaxed structure of MnNiPdAu at the PBE level of DFT.

* size of the total moment: 4.60 μB per cell
* density: 11680 kg/m3

Lattice parameters (Å, degrees): 4.3768 4.3768 4.3768 60.00 60.00 60.00
Last column: nearest neighbours and their distance in Å.
Fractional coordinates of all 4 atoms:
Au (0.5000, 0.5000, 0.5000)  4 Mn 2.68, 4 Ni 2.68
Pd (0.0000, 0.0000, 0.0000)  4 Ni 2.68, 4 Mn 2.68
Ni (0.2500, 0.2500, 0.2500)  4 Pd 2.68, 4 Au 2.68
Mn (0.7500, 0.7500, 0.7500)  4 Pd 2.68, 4 Au 2.68


Model B:
Computed, not measured: a relaxed structure of MnNiPdAu at the PBE level of DFT.

* size of the total moment: 4.68 μB per cell
* density: 11783 kg/m3

Lattice parameters (Å, degrees): 3.9433 3.9433 4.6969 114.83 114.82 90.00
Last column: nearest neighbours and their distance in Å.
Fractional coordinates of all 4 atoms:
Au (0.2500, 0.7500, 0.5000)  4 Mn 2.73, 4 Ni 2.73, 4 Pd 2.79
Pd (0.7500, 0.2500, 0.5000)  4 Mn 2.73, 4 Ni 2.73, 4 Au 2.79
Mn (0.0000, 0.0000, 0.0000)  4 Pd 2.73, 4 Au 2.73, 4 Ni 2.79
Ni (0.5000, 0.5000, 0.0000)  4 Pd 2.73, 4 Au 2.73, 4 Mn 2.79


Each structure's energy above the most stable one, in eV/atom: model A 0.059; model B 0.000.